No. 1
## ZrFe3Ru (PBE)

Data for a relaxed structure of ZrFe3Ru.

Geometry as extended XYZ:
```
5
Lattice="4.495 0.000 0.000 0.000 4.495 0.000 0.000 0.000 4.495" Properties=species:S:1:pos:R:3 pbc="T T T"
Zr 0.000 0.000 0.000
Fe 0.000 2.248 2.248
Fe 2.248 0.000 2.248
Fe 2.248 2.248 0.000
Ru 2.248 2.248 2.248
```

Summary:
Crystal system   cubic
DFT formation energy   96 kJ per mole of atoms

=====

No. 2
## NaDyTlZn (PBE)

Data for a relaxed structure of NaDyTlZn.

Geometry as extended XYZ:
```
16
Lattice="7.290 0.000 0.000 0.000 7.290 0.000 0.000 0.000 7.290" Properties=species:S:1:pos:R:3 pbc="T T T"
Na 0.000 0.000 0.000
Na 0.000 3.645 3.645
Na 3.645 0.000 3.645
Na 3.645 3.645 0.000
Dy 0.000 0.000 3.645
Dy 0.000 3.645 0.000
Dy 3.645 0.000 0.000
Dy 3.645 3.645 3.645
Tl 1.823 1.823 1.823
Tl 1.823 5.468 5.468
Tl 5.468 1.823 5.468
Tl 5.468 5.468 1.823
Zn 1.823 1.823 5.468
Zn 1.823 5.468 1.823
Zn 5.468 1.823 1.823
Zn 5.468 5.468 5.468
```

Summary:
Crystal system   cubic
DFT formation energy   -14 kJ per mole of atoms

=====

No. 3
## Nb2VPtRh5 (PBE)

Data for a relaxed structure of Nb2VPtRh5.

Geometry as extended XYZ:
```
18
Lattice="-3.711 3.711 5.489 3.711 -3.711 5.489 3.711 3.711 -5.489" Properties=species:S:1:pos:R:3 pbc="T T T"
Nb 4.596 0.884 0.000
Nb 0.884 2.827 0.000
Nb 2.827 0.884 5.489
Nb -0.884 2.827 5.489
V 0.000 0.000 2.745
V 0.000 0.000 8.234
Pt 3.711 0.000 2.745
Pt 0.000 3.711 2.745
Rh 0.000 0.000 0.000
Rh 2.166 1.545 -1.472
Rh 2.166 -1.545 4.017
Rh 2.166 1.545 1.472
Rh 2.166 -1.545 6.962
Rh 0.000 0.000 5.489
Rh 1.545 5.257 -1.472
Rh 1.545 2.166 4.017
Rh 1.545 5.257 1.472
Rh 1.545 2.166 6.962
```

Summary:
Crystal system   tetragonal
DFT formation energy   19 kJ per mole of atoms

=====

No. 4
## TbPrTm6 (PBE)

Data for a relaxed structure of TbPrTm6.

Geometry as extended XYZ:
```
16
Lattice="10.166 0.000 0.000 0.000 6.624 0.000 -2.240 0.000 8.173" Properties=species:S:1:pos:R:3 pbc="T T T"
Tb 0.000 0.000 0.000
Tb 5.083 3.312 0.000
Pr -1.120 0.000 4.087
Pr 3.963 3.312 4.087
Tm -0.804 3.312 7.543
Tm 1.340 1.707 2.429
Tm 1.340 4.917 2.429
Tm 1.504 1.605 5.744
Tm 1.504 5.019 5.744
Tm 3.647 0.000 0.630
Tm 4.279 0.000 7.543
Tm 6.423 1.605 2.429
Tm 6.423 5.019 2.429
Tm 6.587 1.707 5.744
Tm 6.587 4.917 5.744
Tm 8.730 3.312 0.630
```

Summary:
Crystal system   monoclinic
DFT formation energy   36 kJ per mole of atoms

=====

No. 5
## Ca2TeRh (PBE)

Data for a relaxed structure of Ca2TeRh.

Geometry as extended XYZ:
```
16
Lattice="7.193 0.000 0.000 0.000 7.193 0.000 0.000 0.000 7.193" Properties=species:S:1:pos:R:3 pbc="T T T"
Ca 0.000 0.000 0.000
Ca 0.000 3.596 3.596
Ca 1.798 1.798 1.798
Ca 1.798 5.395 5.395
Ca 3.596 0.000 3.596
Ca 3.596 3.596 0.000
Ca 5.395 1.798 5.395
Ca 5.395 5.395 1.798
Te 1.798 1.798 5.395
Te 1.798 5.395 1.798
Te 5.395 1.798 1.798
Te 5.395 5.395 5.395
Rh 0.000 0.000 3.596
Rh 0.000 3.596 0.000
Rh 3.596 0.000 0.000
Rh 3.596 3.596 3.596
```

Summary:
Crystal system   cubic
E_form (uncorrected)   -38 kJ per mole of atoms

=====

No. 6
## CuTcSBr2 (PBE)

Data for a relaxed structure of CuTcSBr2.

Geometry as extended XYZ:
```
5
Lattice="5.716 0.000 0.000 0.000 5.716 0.000 0.000 0.000 4.371" Properties=species:S:1:pos:R:3 pbc="T T T"
Cu 0.000 0.000 0.000
Tc 2.858 2.858 0.000
S 2.858 2.858 2.185
Br 0.000 2.858 2.185
Br 2.858 0.000 2.185
```

Summary:
Crystal system   tetragonal
E_form (uncorrected)   95 kJ per mole of atoms

=====

No. 7
## CsCa2Ni2 (PBE)

Data for a relaxed structure of CsCa2Ni2.

Geometry as extended XYZ:
```
10
Lattice="8.422 0.000 0.000 0.000 8.422 0.000 0.000 0.000 3.976" Properties=species:S:1:pos:R:3 pbc="T T T"
Cs 0.000 0.000 0.000
Cs 4.211 4.211 0.000
Ca 1.240 2.971 1.988
Ca 2.971 7.182 1.988
Ca 5.451 1.240 1.988
Ca 7.182 5.451 1.988
Ni 0.858 5.069 0.000
Ni 3.353 0.858 0.000
Ni 5.069 7.564 0.000
Ni 7.564 3.353 0.000
```

Summary:
Crystal system   tetragonal
DFT formation energy   28 kJ per mole of atoms

=====

No. 8
## SrScGe2Pd5 (PBE)

Data for a relaxed structure of SrScGe2Pd5.

Geometry as extended XYZ:
```
9
Lattice="4.314 0.000 0.000 0.000 4.314 0.000 0.000 0.000 8.980" Properties=species:S:1:pos:R:3 pbc="T T T"
Sr 0.000 0.000 0.000
Sc 0.000 0.000 4.490
Ge 2.157 2.157 3.283
Ge 2.157 2.157 5.698
Pd 0.000 2.157 2.164
Pd 0.000 2.157 6.816
Pd 2.157 0.000 2.164
Pd 2.157 0.000 6.816
Pd 2.157 2.157 0.000
```

Summary:
Crystal system   tetragonal
DFT formation energy   -55 kJ per mole of atoms

=====

No. 9
## LiH7Rh2 (PBE)

Data for a relaxed structure of LiH7Rh2.

Geometry as extended XYZ:
```
10
Lattice="2.764 -4.203 0.000 2.764 4.203 0.000 0.000 0.000 3.351" Properties=species:S:1:pos:R:3 pbc="T T T"
Li 0.000 0.000 0.000
H 1.124 1.146 1.676
H 2.764 1.451 0.000
H 1.124 -1.146 1.676
H 2.764 0.000 1.676
H 4.404 1.146 1.676
H 2.764 -1.451 0.000
H 4.404 -1.146 1.676
Rh 2.764 1.694 1.676
Rh 2.764 -1.694 1.676
```

Summary:
Crystal system   orthorhombic
DFT total energy   -41.2 eV/cell

=====

No. 10
## Cs3Nd3MnTe8 (PBE)

Data for a relaxed structure of Cs3Nd3MnTe8.

Geometry as extended XYZ:
```
15
Lattice="4.515 2.607 9.158 -4.515 2.607 9.158 0.000 -5.214 9.158" Properties=species:S:1:pos:R:3 pbc="T T T"
Cs -2.258 -1.303 9.158
Cs -2.258 1.303 18.316
Cs 0.000 2.607 9.158
Nd -4.515 0.000 13.737
Nd -2.258 1.303 4.579
Nd 2.258 1.303 4.579
Mn 0.000 0.000 13.737
Te 0.000 0.000 6.389
Te -2.005 -1.158 15.357
Te 0.000 -2.315 12.117
Te -2.005 1.158 12.117
Te 2.005 -1.158 15.357
Te 0.000 2.315 15.357
Te 2.005 1.158 12.117
Te 0.000 0.000 21.085
```

Summary:
Crystal system   trigonal
E_form (uncorrected)   -105 kJ per mole of atoms

=====

No. 11
## Tb7Nd2Dy3 (PBE)

Data for a relaxed structure of Tb7Nd2Dy3.

Geometry as extended XYZ:
```
12
Lattice="2.859 -18.988 0.000 2.859 18.988 0.000 0.000 0.000 3.618" Properties=species:S:1:pos:R:3 pbc="T T T"
Tb 0.000 0.000 0.000
Tb 2.859 16.289 1.809
Tb 2.859 10.226 0.000
Tb 2.859 3.410 0.000
Tb 2.859 -3.410 0.000
Tb 2.859 -10.226 0.000
Tb 2.859 -16.289 1.809
Nd 2.859 13.388 0.000
Nd 2.859 -13.388 0.000
Dy 2.859 7.057 1.809
Dy 2.859 0.000 1.809
Dy 2.859 -7.057 1.809
```

Summary:
Crystal system   orthorhombic
DFT formation energy   11 kJ per mole of atoms

=====

No. 12
## SbTe2Br (PBE)

Data for a relaxed structure of SbTe2Br.

Geometry as extended XYZ:
```
4
Lattice="4.415 0.000 0.000 0.000 4.415 0.000 0.000 0.000 5.835" Properties=species:S:1:pos:R:3 pbc="T T T"
Sb 0.000 0.000 0.000
Te 0.000 2.207 2.917
Te 2.207 0.000 2.917
Br 2.207 2.207 0.000
```

Summary:
Crystal system   tetragonal
E_form (uncorrected)   19 kJ per mole of atoms

=====

Q: Number 4 is which compound?
A: TbPrTm6